i | Density functional theory data (GGA-PBE) for a geometry-optimized PmEuAs2 structure.

Unit cell a=5.4753 b=5.4753 c=3.2652 alpha=90.00 beta=90.00 gamma=90.00
With the nearest neighbours (Å) after each atom.
Space group P4/mmm (No. 123)
Asymmetric unit:
1 Pm 0.0000 0.0000 0.0000  8 As 3.19, 2 Pm 3.27
2 Eu 0.5000 0.5000 0.0000  8 As 3.19, 2 Eu 3.27
3 As 0.0000 0.5000 0.5000  4 Pm 3.19, 4 Eu 3.19, 2 As 3.27

Output
V	24.47	Å³/atom
total moment	6.79	Bohr magnetons per cell

=====

ii | Density functional theory data (GGA-PBE) for a geometry-optimized PmEuAs2 structure.

Unit cell a=4.2622 b=4.2622 c=20.9731 alpha=90.00 beta=90.00 gamma=120.00
With the nearest neighbours (Å) after each atom.
Space group R-3m (No. 166, hexagonal axes)
Asymmetric unit:
1 Pm 0.0000 0.0000 0.0000  6 As 3.00
2 Eu 0.0000 0.0000 0.5000  6 As 3.04
3 As 0.0000 0.0000 0.2514  3 Pm 3.00, 3 Eu 3.04

Output
V	27.50	Å³/atom
total moment	19.32	Bohr magnetons per cell

=====

Q: Which of them is the least stable? A: i.

=====

i | Density functional theory data (GGA-PBE) for a geometry-optimized PmEuAs structure.

Unit cell a=7.0993 b=7.0993 c=7.0993 alpha=90.00 beta=90.00 gamma=90.00
With the nearest neighbours (Å) after each atom.
Space group F-43m (No. 216)
Asymmetric unit:
1 Pm 0.0000 0.0000 0.0000  4 As 3.07
2 Eu 0.0000 0.0000 0.5000  4 As 3.07
3 As 0.2500 0.2500 0.2500  4 Pm 3.07, 4 Eu 3.07

Output
V	29.82	Å³/atom
total moment	31.28	Bohr magnetons per cell

=====

ii | Density functional theory data (GGA-PBE) for a geometry-optimized PmEuAs structure.

Unit cell a=3.9069 b=3.9069 c=11.3724 alpha=90.00 beta=90.00 gamma=90.00
With the nearest neighbours (Å) after each atom.
Space group I4mm (No. 107)
Asymmetric unit:
1 Pm 0.0000 0.0000 0.0000  4 As 3.06, 1 Eu 3.18
2 Eu 0.0000 0.0000 0.7207  1 Pm 3.18, 4 As 3.33
3 As 0.0000 0.0000 0.3843  4 Pm 3.06, 4 Eu 3.33

Output
V	28.93	Å³/atom
total moment	17.57	Bohr magnetons per cell

=====

iii | Density functional theory data (GGA-PBE) for a geometry-optimized PmEuAs structure.

Unit cell a=4.1850 b=4.1850 c=6.8877 alpha=90.00 beta=90.00 gamma=120.00
With the nearest neighbours (Å) after each atom.
Space group P3m1 (No. 156)
Asymmetric unit:
1 Pm 0.0000 0.0000 0.0000  3 As 2.89
2 Eu 0.3333 0.6667 0.5052  3 As 3.03
3 As 0.6667 0.3333 0.7710  3 Pm 2.89, 3 Eu 3.03

Output
V	34.82	Å³/atom
total moment	7.73	Bohr magnetons per cell

=====

Q: Which of them is the least stable? A: ii.

=====

i | Density functional theory data (GGA-PBE) for a geometry-optimized PrEuAs structure.

Unit cell a=7.1663 b=7.1663 c=7.1663 alpha=90.00 beta=90.00 gamma=90.00
With the nearest neighbours (Å) after each atom.
Space group F-43m (No. 216)
Asymmetric unit:
1 Pr 0.0000 0.0000 0.0000  4 As 3.10
2 Eu 0.0000 0.0000 0.5000  4 As 3.10
3 As 0.2500 0.2500 0.2500  4 Eu 3.10, 4 Pr 3.10

Output
V	30.67	Å³/atom
total moment	31.28	Bohr magnetons per cell

=====

ii | Density functional theory data (GGA-PBE) for a geometry-optimized PrEuAs structure.

Unit cell a=3.9312 b=3.9312 c=11.5113 alpha=90.00 beta=90.00 gamma=90.00
With the nearest neighbours (Å) after each atom.
Space group I4mm (No. 107)
Asymmetric unit:
1 Pr 0.0000 0.0000 0.0000  4 As 3.12, 1 Eu 3.19
2 Eu 0.0000 0.0000 0.7227  1 Pr 3.19, 4 As 3.30
3 As 0.0000 0.0000 0.3772  4 Pr 3.12, 4 Eu 3.30

Output
V	29.65	Å³/atom
total moment	17.50	Bohr magnetons per cell

=====

Q: Which of them is the least stable? A: ii.

=====

i | Density functional theory data (GGA-PBE) for a geometry-optimized EuPuAs2 structure.

Unit cell a=4.2212 b=4.2212 c=20.7499 alpha=90.00 beta=90.00 gamma=120.00
With the nearest neighbours (Å) after each atom.
Space group R-3m (No. 166, hexagonal axes)
Asymmetric unit:
1 Eu 0.0000 0.0000 0.0000  6 As 3.08
2 Pu 0.0000 0.0000 0.5000  6 As 2.91
3 As 0.0000 0.0000 0.2430  3 Pu 2.91, 3 Eu 3.08

Output
V	26.68	Å³/atom
total moment	6.69	Bohr magnetons per cell

=====

ii | Density functional theory data (GGA-PBE) for a geometry-optimized EuPuAs2 structure.

Unit cell a=3.5966 b=3.5966 c=7.3520 alpha=90.00 beta=90.00 gamma=90.00
With the nearest neighbours (Å) after each atom.
Space group P4/mmm (No. 123)
Asymmetric unit:
1 Eu 0.0000 0.0000 0.0000  8 As 3.19
2 Pu 0.0000 0.0000 0.5000  8 As 3.09
3 As 0.5000 0.5000 0.2617  4 Pu 3.09, 4 Eu 3.19

Output
V	23.78	Å³/atom
total moment	1.49	Bohr magnetons per cell

=====

Q: Which of them is the least stable? A: ii.

=====

i | Density functional theory data (GGA-PBE) for a geometry-optimized EuPuAs structure.

Unit cell a=3.7274 b=3.7274 c=12.3393 alpha=90.00 beta=90.00 gamma=90.00
With the nearest neighbours (Å) after each atom.
Space group I4mm (No. 107)
Asymmetric unit:
1 Eu 0.0000 0.0000 0.0000  1 Pu 3.16, 4 As 3.17
2 Pu 0.0000 0.0000 0.2560  4 As 2.98, 1 Eu 3.16
3 As 0.0000 0.0000 0.6430  4 Pu 2.98, 4 Eu 3.17

Output
V	28.57	Å³/atom
total moment	2.42	Bohr magnetons per cell

=====

ii | Density functional theory data (GGA-PBE) for a geometry-optimized EuPuAs structure.

Unit cell a=4.8031 b=4.8031 c=4.2801 alpha=90.00 beta=90.00 gamma=120.00
With the nearest neighbours (Å) after each atom.
Space group P3m1 (No. 156)
Asymmetric unit:
1 Eu 0.0000 0.0000 0.0000  3 As 3.16, 3 Pu 3.42
2 Pu 0.6667 0.3333 0.4680  3 As 2.88
3 As 0.3333 0.6667 0.6484  3 Pu 2.88, 3 Eu 3.16

Output
V	28.50	Å³/atom
total moment	13.71	Bohr magnetons per cell

=====

iii | Density functional theory data (GGA-PBE) for a geometry-optimized EuPuAs structure.

Unit cell a=7.0838 b=7.0838 c=7.0838 alpha=90.00 beta=90.00 gamma=90.00
With the nearest neighbours (Å) after each atom.
Space group F-43m (No. 216)
Asymmetric unit:
1 Eu 0.0000 0.0000 0.0000  4 As 3.07
2 Pu 0.0000 0.0000 0.5000  4 As 3.07
3 As 0.2500 0.2500 0.7500  4 Pu 3.07, 4 Eu 3.07

Output
V	29.62	Å³/atom
total moment	56.02	Bohr magnetons per cell

=====

Q: Which of them is the least stable? A: ii.

=====

i | Density functional theory data (GGA-PBE) for a geometry-optimized SrEu2As structure.

Unit cell a=3.8921 b=3.8921 c=9.7067 alpha=90.00 beta=90.00 gamma=90.00
With the nearest neighbours (Å) after each atom.
Space group P4/mmm (No. 123)
Asymmetric unit:
1 Sr 0.0000 0.0000 0.0000  4 Sr 3.89, 8 Eu 4.27
2 Eu 0.5000 0.5000 0.3368  1 Eu 3.17, 4 As 3.18
3 As 0.0000 0.0000 0.5000  8 Eu 3.18

Output
V	36.76	Å³/atom
total moment	14.96	Bohr magnetons per cell

=====

ii | Density functional theory data (GGA-PBE) for a geometry-optimized SrEu2As structure.

Unit cell a=4.2946 b=4.2946 c=33.6351 alpha=90.00 beta=90.00 gamma=120.00
With the nearest neighbours (Å) after each atom.
Space group R-3m (No. 166, hexagonal axes)
Asymmetric unit:
1 Sr 0.0000 0.0000 0.0000  2 Eu 3.96, 6 Sr 4.29
2 Eu 0.0000 0.0000 0.1177  3 As 2.98
3 As 0.0000 0.0000 0.5000  6 Eu 2.98

Output
V	44.77	Å³/atom
total moment	44.84	Bohr magnetons per cell

=====

Q: Which of them is the least stable? A: ii.